# Zn2MoIr

A geometry-optimized Zn2MoIr structure (GGA-PBE, the Alexandria database).

Cell lengths 4.584, 4.584, 4.584 Å; angles 127.70, 127.70, 77.10 degrees
Positions (direct):
Ir (0.500, 0.500, 0.000)
Mo (0.750, 0.250, 0.500)
Zn (0.000, 0.000, 0.000)
Zn (0.250, 0.750, 0.500)

Properties
- SG = I-4m2 (119)



# ZnMoIr2

A geometry-optimized ZnMoIr2 structure (GGA-PBE, the Alexandria database).

Cell lengths 2.745, 2.745, 8.977 Å; angles 90.00, 90.00, 117.41 degrees
Positions (direct):
Ir (0.000, 0.000, 0.998)
Ir (0.000, 0.000, 0.502)
Mo (0.500, 0.500, 0.250)
Zn (0.500, 0.500, 0.750)

Properties
- SG = Cmmm (65)



# ZnMo2Ir

A geometry-optimized ZnMo2Ir structure (GGA-PBE, the Alexandria database).

Cell lengths 2.758, 2.758, 7.899 Å; angles 90.00, 90.00, 90.00 degrees
Positions (direct):
Ir (0.500, 0.500, 0.750)
Mo (0.000, 0.000, 0.997)
Mo (0.000, 0.000, 0.503)
Zn (0.500, 0.500, 0.250)

Properties
- SG = P4/mmm (123)



# Zn2MoIr

A geometry-optimized Zn2MoIr structure (GGA-PBE, the Alexandria database).

Cell lengths 4.668, 4.668, 4.804 Å; angles 82.58, 82.58, 34.76 degrees
Positions (direct):
Ir (0.500, 0.500, 0.520)
Mo (0.753, 0.753, 0.727)
Zn (0.000, 0.000, 0.021)
Zn (0.247, 0.247, 0.232)

Properties
- SG = Cm (8)



# ZnMoIr2

A geometry-optimized ZnMoIr2 structure (GGA-PBE, the Alexandria database).

Cell lengths 4.010, 2.796, 5.975 Å; angles 62.05, 90.00, 90.00 degrees
Positions (direct):
Ir (0.000, 0.031, 0.968)
Ir (0.500, 0.228, 0.272)
Mo (0.000, 0.509, 0.492)
Zn (0.500, 0.732, 0.768)

Properties
- SG = Pm (6)



# ZnMo2Ir

A geometry-optimized ZnMo2Ir structure (GGA-PBE, the Alexandria database).

Cell lengths 2.754, 3.961, 5.532 Å; angles 90.00, 90.00, 90.00 degrees
Positions (direct):
Ir (0.500, 0.500, 0.739)
Mo (0.000, 0.000, 0.995)
Mo (0.500, 0.500, 0.261)
Zn (0.000, 0.000, 0.505)

Properties
- SG = Pmm2 (25)



# ZnMo2Ir

A geometry-optimized ZnMo2Ir structure (GGA-PBE, the Alexandria database).

Cell lengths 4.091, 2.741, 5.979 Å; angles 62.77, 90.00, 90.00 degrees
Positions (direct):
Mo (0.000, 0.996, 0.005)
Mo (0.000, 0.504, 0.495)
Ir (0.500, 0.750, 0.750)
Zn (0.500, 0.250, 0.250)

Properties
- SG = Pmmm (47)



# ZnMoIr2

A geometry-optimized ZnMoIr2 structure (GGA-PBE, the Alexandria database).

Cell lengths 5.191, 5.191, 5.191 Å; angles 147.83, 127.63, 62.80 degrees
Positions (direct):
Ir (0.013, 0.013, 0.000)
Ir (0.487, 0.487, 0.000)
Mo (0.750, 0.250, 0.500)
Zn (0.250, 0.750, 0.500)

Properties
- SG = Immm (71)



no.,energy (eV per atom),energy of formation from the pure elements (meV/atom)
1,-5.574,-14
2,-7.425,32
3,-8.020,-71
4,-5.584,-24
5,-7.569,-112
6,-7.931,18
7,-8.045,-96
8,-7.475,-18